1.
DFT (PBE) results for crystalline CaCrOs2 at its relaxed geometry.

Structure (extended XYZ):
```
8
Lattice="-3.612 3.612 2.734 3.612 -3.612 2.734 3.612 3.612 -2.734" Properties=species:S:1:pos:R:3 pbc="T T T"
Ca 0.000 0.000 0.000
Ca 0.000 3.612 1.367
Cr 3.612 0.000 1.367
Cr 0.000 0.000 2.734
Os 1.806 -1.339 2.050
Os 2.273 1.806 0.683
Os 1.806 4.951 -0.683
Os 1.339 1.806 3.417
```

E_form: 0.7672 eV/atom
crystal system: tetragonal
total moment: 0.0 μB per formula unit
offset from the most stable computed form: 38.0 kJ/mol of atoms



2.
DFT (PBE) results for crystalline Ca2CrOs at its relaxed geometry.

Structure (extended XYZ):
```
4
Lattice="3.583 0.000 0.000 0.000 3.583 0.000 0.000 0.000 7.112" Properties=species:S:1:pos:R:3 pbc="T T T"
Ca 0.000 0.000 1.570
Ca 0.000 0.000 5.543
Cr 1.791 1.791 3.556
Os 1.791 1.791 0.000
```

E_form: 0.7597 eV/atom
crystal system: tetragonal
total moment: 5.1 μB per formula unit
offset from the most stable computed form: 51.1 kJ/mol of atoms



3.
DFT (PBE) results for crystalline CaCr2Os at its relaxed geometry.

Structure (extended XYZ):
```
4
Lattice="2.637 -4.530 0.000 2.637 4.530 0.000 0.000 0.000 2.557" Properties=species:S:1:pos:R:3 pbc="T T T"
Ca 0.000 0.000 0.000
Cr 1.319 2.265 1.278
Cr 1.319 -2.265 1.278
Os 2.637 0.000 0.000
```

E_form: 0.9342 eV/atom
crystal system: orthorhombic
total moment: 0.0 μB per formula unit
offset from the most stable computed form: 49.1 kJ/mol of atoms



4.
DFT (PBE) results for crystalline CaCrOs2 at its relaxed geometry.

Structure (extended XYZ):
```
4
Lattice="0.000 3.133 3.133 3.133 0.000 3.133 3.133 3.133 0.000" Properties=species:S:1:pos:R:3 pbc="T T T"
Ca 0.000 0.000 0.000
Cr 3.133 3.133 3.133
Os 1.566 1.566 1.566
Os 4.699 4.699 4.699
```

E_form: 0.6749 eV/atom
crystal system: cubic
total moment: 0.0 μB per formula unit
offset from the most stable computed form: 29.1 kJ/mol of atoms



5.
DFT (PBE) results for crystalline CaCrOs2 at its relaxed geometry.

Structure (extended XYZ):
```
4
Lattice="2.925 0.000 0.000 0.000 2.925 0.000 0.000 0.000 7.645" Properties=species:S:1:pos:R:3 pbc="T T T"
Ca 0.000 0.000 0.000
Cr 0.000 0.000 3.823
Os 1.462 1.462 2.339
Os 1.462 1.462 5.306
```

E_form: 0.3737 eV/atom
crystal system: tetragonal
total moment: 0.4 μB per formula unit
offset from the most stable computed form: 0.0 kJ/mol of atoms



6.
DFT (PBE) results for crystalline CaCr2Os at its relaxed geometry.

Structure (extended XYZ):
```
4
Lattice="1.372 0.792 9.444 -1.372 0.792 9.444 0.000 -1.584 9.444" Properties=species:S:1:pos:R:3 pbc="T T T"
Ca 0.000 0.000 0.000
Cr 0.000 0.000 6.819
Cr 0.000 0.000 21.514
Os 0.000 0.000 14.166
```

E_form: 0.8523 eV/atom
crystal system: trigonal
total moment: 0.0 μB per formula unit
offset from the most stable computed form: 41.2 kJ/mol of atoms



7.
DFT (PBE) results for crystalline Ca2CrOs at its relaxed geometry.

Structure (extended XYZ):
```
4
Lattice="0.000 3.441 3.462 3.434 0.000 3.462 3.434 3.441 0.000" Properties=species:S:1:pos:R:3 pbc="T T T"
Ca 0.000 0.000 0.000
Ca 1.717 1.720 1.731
Cr 3.434 3.441 3.462
Os 5.151 5.161 5.193
```

E_form: 0.6752 eV/atom
crystal system: orthorhombic
total moment: 3.7 μB per formula unit
offset from the most stable computed form: 42.9 kJ/mol of atoms



8.
DFT (PBE) results for crystalline CaCrOs at its relaxed geometry.

Structure (extended XYZ):
```
3
Lattice="0.000 3.134 3.134 3.134 0.000 3.134 3.134 3.134 0.000" Properties=species:S:1:pos:R:3 pbc="T T T"
Ca 0.000 0.000 0.000
Cr 3.134 3.134 3.134
Os 1.567 1.567 1.567
```

E_form: 0.8886 eV/atom
crystal system: cubic
total moment: 2.1 μB per formula unit
offset from the most stable computed form: 43.3 kJ/mol of atoms



9.
DFT (PBE) results for crystalline Ca2CrOs at its relaxed geometry.

Structure (extended XYZ):
```
4
Lattice="1.618 0.934 9.947 -1.618 0.934 9.947 0.000 -1.869 9.947" Properties=species:S:1:pos:R:3 pbc="T T T"
Ca 0.000 0.000 7.149
Ca 0.000 0.000 22.691
Cr 0.000 0.000 0.000
Os 0.000 0.000 14.920
```

E_form: 0.8854 eV/atom
crystal system: trigonal
total moment: 4.1 μB per formula unit
offset from the most stable computed form: 63.2 kJ/mol of atoms



10.
DFT (PBE) results for crystalline Ca2CrOs at its relaxed geometry.

Structure (extended XYZ):
```
4
Lattice="2.008 1.159 7.990 -2.008 1.159 7.990 0.000 -2.319 7.990" Properties=species:S:1:pos:R:3 pbc="T T T"
Ca 0.000 0.000 0.000
Ca 0.000 0.000 4.270
Cr 0.000 0.000 17.991
Os 0.000 0.000 10.246
```

E_form: 0.2301 eV/atom
crystal system: trigonal
total moment: 0.7 μB per formula unit
offset from the most stable computed form: 0.0 kJ/mol of atoms



11.
DFT (PBE) results for crystalline CaCr2Os at its relaxed geometry.

Structure (extended XYZ):
```
4
Lattice="1.546 -2.261 0.000 1.546 2.261 0.000 0.000 0.000 8.813" Properties=species:S:1:pos:R:3 pbc="T T T"
Ca 0.000 0.000 0.000
Cr 0.000 0.000 4.508
Cr 1.546 0.000 6.183
Os 1.546 0.000 2.501
```

E_form: 0.6451 eV/atom
crystal system: orthorhombic
total moment: 0.0 μB per formula unit
offset from the most stable computed form: 21.3 kJ/mol of atoms



12.
DFT (PBE) results for crystalline CaCrP2Os at its relaxed geometry.

Structure (extended XYZ):
```
5
Lattice="-2.008 2.008 5.012 2.008 -2.008 5.012 2.008 2.008 -5.012" Properties=species:S:1:pos:R:3 pbc="T T T"
Ca 0.000 0.000 0.000
Cr 0.000 2.008 2.506
P 0.000 0.000 3.736
P 0.000 0.000 6.289
Os 2.008 0.000 2.506
```

E_form: -0.6627 eV/atom
crystal system: tetragonal
total moment: 2.5 μB per formula unit
offset from the most stable computed form: 0.0 kJ/mol of atoms



13.
DFT (PBE) results for crystalline CaCrP2Os at its relaxed geometry.

Structure (extended XYZ):
```
5
Lattice="4.982 0.000 0.000 0.000 4.982 0.000 0.000 0.000 5.014" Properties=species:S:1:pos:R:3 pbc="T T T"
Ca 0.000 0.000 0.000
Cr 2.491 2.491 2.507
P 0.000 2.491 0.000
P 2.491 0.000 0.000
Os 0.000 0.000 2.507
```

E_form: 2.0606 eV/atom
crystal system: tetragonal
total moment: 2.0 μB per formula unit
offset from the most stable computed form: 262.8 kJ/mol of atoms



14.
DFT (PBE) results for crystalline CaCr2OsPt at its relaxed geometry.

Structure (extended XYZ):
```
5
Lattice="4.218 0.000 0.000 0.000 4.218 0.000 0.000 0.000 4.724" Properties=species:S:1:pos:R:3 pbc="T T T"
Ca 0.000 0.000 0.000
Cr 0.000 2.109 0.000
Cr 2.109 0.000 0.000
Os 2.109 2.109 2.362
Pt 0.000 0.000 2.362
```

E_form: 2.5323 eV/atom
crystal system: tetragonal
total moment: 0.8 μB per formula unit



15.
DFT (PBE) results for crystalline CaSc2CrOs at its relaxed geometry.

Structure (extended XYZ):
```
5
Lattice="4.929 0.000 0.000 0.000 4.929 0.000 0.000 0.000 4.545" Properties=species:S:1:pos:R:3 pbc="T T T"
Ca 0.000 0.000 0.000
Sc 0.000 2.465 2.272
Sc 2.465 0.000 2.272
Cr 2.465 2.465 2.272
Os 2.465 2.465 0.000
```

E_form: 0.3843 eV/atom
crystal system: tetragonal
total moment: 0.0 μB per formula unit



16.
DFT (PBE) results for crystalline CaTi2CrOs at its relaxed geometry.

Structure (extended XYZ):
```
5
Lattice="4.797 0.000 0.000 0.000 4.797 0.000 0.000 0.000 4.864" Properties=species:S:1:pos:R:3 pbc="T T T"
Ca 0.000 0.000 0.000
Ti 0.000 2.398 2.432
Ti 2.398 0.000 2.432
Cr 2.398 2.398 0.000
Os 2.398 2.398 2.432
```

E_form: 0.4487 eV/atom
crystal system: tetragonal
total moment: 1.9 μB per formula unit



17.
DFT (PBE) results for crystalline Ca2CrOsW at its relaxed geometry.

Structure (extended XYZ):
```
5
Lattice="5.131 0.000 0.000 0.000 5.131 0.000 0.000 0.000 4.409" Properties=species:S:1:pos:R:3 pbc="T T T"
Ca 0.000 2.565 0.000
Ca 2.565 0.000 0.000
Cr 0.000 0.000 0.000
Os 0.000 0.000 2.204
W 2.565 2.565 2.204
```

E_form: 1.7483 eV/atom
crystal system: tetragonal
total moment: 3.4 μB per formula unit



18.
DFT (PBE) results for crystalline CaY2CrOs at its relaxed geometry.

Structure (extended XYZ):
```
5
Lattice="5.260 0.000 0.000 0.000 5.260 0.000 0.000 0.000 4.111" Properties=species:S:1:pos:R:3 pbc="T T T"
Ca 0.000 0.000 0.000
Y 0.000 2.630 0.000
Y 2.630 0.000 0.000
Cr 0.000 0.000 2.056
Os 2.630 2.630 2.056
```

E_form: 1.8901 eV/atom
crystal system: tetragonal
total moment: 1.1 μB per formula unit



19.
DFT (PBE) results for crystalline CaCrP at its relaxed geometry.

Structure (extended XYZ):
```
3
Lattice="-1.593 1.593 5.208 1.593 -1.593 5.208 1.593 1.593 -5.208" Properties=species:S:1:pos:R:3 pbc="T T T"
Ca 0.000 0.000 0.000
Cr 0.000 0.000 7.458
P 0.000 0.000 3.022
```

E_form: -0.2107 eV/atom
crystal system: tetragonal
total moment: 1.1 μB per formula unit



20.
DFT (PBE) results for crystalline CaCrP at its relaxed geometry.

Structure (extended XYZ):
```
6
Lattice="3.705 0.000 0.000 0.000 3.705 0.000 0.000 0.000 8.756" Properties=species:S:1:pos:R:3 pbc="T T T"
Ca 0.926 0.926 1.638
Ca 2.779 2.779 7.118
Cr 0.926 2.779 4.378
Cr 2.779 0.926 4.378
P 0.926 0.926 5.814
P 2.779 2.779 2.943
```

E_form: -0.6378 eV/atom
crystal system: tetragonal
total moment: 0.7 μB per formula unit